Entry 1:
The following is a DFT calculation (PBE) of a geometry-optimized TbCePr2As4 structure.

Cell lengths 7.3358, 4.2414, 7.3505 Å; angles 90.00, 109.39, 90.00 degrees
Last column: nearest neighbours and their distance in Å.
Sites, in units of the cell vectors:
Tb 0.0000 0.0000 0.0000  6 As 2.95-2.96
Ce 0.5000 0.5000 0.0000  6 As 2.96
Pr 0.0000 0.5000 0.5000  6 As 3.04
Pr 0.5000 0.0000 0.5000  6 As 3.04
As 0.2466 0.5000 0.2396  1 Ce 2.96, 2 Tb 2.96, 3 Pr 3.04
As 0.2524 0.0000 0.7594  1 Tb 2.95, 2 Ce 2.96, 3 Pr 3.04
As 0.7476 0.0000 0.2406  1 Tb 2.95, 2 Ce 2.96, 3 Pr 3.04
As 0.7534 0.5000 0.7604  1 Ce 2.96, 2 Tb 2.96, 3 Pr 3.04

Symmetry: No. 10
ΔH_f (0 K): -1.494 eV per atom
Volume: 215.73 Å³ per cell

---

Entry 2:
The following is a DFT calculation (PBE) of a geometry-optimized Tb2CePr3As6 structure.

Cell lengths 7.3301, 7.3301, 7.3428 Å; angles 99.58, 99.58, 119.99 degrees
Last column: nearest neighbours and their distance in Å.
Sites, in units of the cell vectors:
Tb 0.1666 0.8334 0.0000  6 As 2.95-2.96
Tb 0.8334 0.1666 0.0000  6 As 2.95-2.96
Ce 0.5000 0.5000 0.0000  6 As 2.95
Pr 0.0000 0.0000 0.5000  6 As 3.03-3.04
Pr 0.3334 0.6666 0.5000  6 As 3.03-3.04
Pr 0.6666 0.3334 0.5000  6 As 3.03-3.04
As 0.0869 0.4200 0.7599  1 Ce 2.95, 2 Tb 2.96, 3 Pr 3.03-3.04
As 0.2468 0.2468 0.2393  1 Ce 2.95, 2 Tb 2.95, 3 Pr 3.04
As 0.4200 0.0869 0.7599  1 Ce 2.95, 2 Tb 2.96, 3 Pr 3.03-3.04
As 0.5800 0.9131 0.2401  1 Ce 2.95, 2 Tb 2.96, 3 Pr 3.03-3.04
As 0.7532 0.7532 0.7607  1 Ce 2.95, 2 Tb 2.95, 3 Pr 3.04
As 0.9131 0.5800 0.2401  1 Ce 2.95, 2 Tb 2.96, 3 Pr 3.03-3.04

Symmetry: No. 12
ΔH_f (0 K): -1.504 eV per atom
Volume: 322.22 Å³ per cell